Below is a relaxed structure of ZnGe2Rh, with properties calculated at the PBE level.

Calculated values
**ΔH_f (0 K)**: -5 meV per atom
**Excess energy over the best structure of this formula in the dataset**: 156 meV per atom
**VASP energy**: -17.88 eV per formula unit
**Total magnetization**: 0.0 μB per formula unit

Geometry as CIF:
```
data_ZnGe2Rh
_chemical_formula_sum 'Zn4 Ge8 Rh4'
_symmetry_space_group_name_H-M 'F m -3 m'
_symmetry_Int_Tables_number 225
_symmetry_space_group_name_Hall '-F 4 2 3'
_cell_length_a 6.318
_cell_length_b 6.318
_cell_length_c 6.318
_cell_angle_alpha 90.00
_cell_angle_beta 90.00
_cell_angle_gamma 90.00
loop_
_atom_site_label
_atom_site_fract_x
_atom_site_fract_y
_atom_site_fract_z
Zn1 0.000 0.000 0.000
Ge1 0.250 0.250 0.250
Rh1 0.000 0.000 0.500
```